Entry from Alexandria: an optimized crystal structure of Zn2InBi2 (PBE).

Geometry as extended XYZ:
```
5
Lattice="-2.034 2.034 8.183 2.034 -2.034 8.183 2.034 2.034 -8.183" Properties=species:S:1:pos:R:3 pbc="T T T"
Zn 2.034 0.000 4.092
Zn 0.000 2.034 4.092
In 0.000 0.000 0.000
Bi 0.000 0.000 6.142
Bi 0.000 0.000 10.224
```

Density in g/cm³: 8.141
ΔE to the lowest computed polymorph in kcal/mol of atoms: 0.00
DFT formation energy in eV/f.u.: 0.419
DFT total energy in Ha/atom: -0.093